# 1
The following is a DFT calculation (PBE-GGA) of a relaxed structure of KReSeBr2.

## Properties
N(E_F)	1.78	states/eV/f.u.
polymorph energy (0 for the lowest one)	0.0	meV per atom
final energy	-4.363	eV/atom
total magnetic moment	0.136	μB per atom
energy relative to the elements, uncorrected	-288	meV per atom

Cell and atoms, written as POSCAR:
```
KReSeBr2
1.0
-2.6598 -3.1108 3.5727
3.7250 -3.9048 -0.6269
2.5506 1.8673 3.5247
Re K Se Br
1 1 1 2
Cartesian
0.0000 0.0000 0.0000 Re
1.8079 -2.5741 3.2353 K
1.2753 0.9337 1.7624 Se
1.8625 -1.9524 -0.3134 Br
-1.3299 -1.5554 1.7864 Br
```

# 2
The following is a DFT calculation (PBE-GGA) of a relaxed structure of TlSbTe2Br.

## Properties
N(E_F)	6.15	states/eV/f.u.
polymorph energy (0 for the lowest one)	131.0	meV per atom
final energy	-2.202	eV/atom
total magnetic moment	0.000	μB per atom
energy relative to the elements, uncorrected	687	meV per atom

Cell and atoms, written as POSCAR:
```
TlSbTe2Br
1.0
-5.5333 1.4489 -0.0469
-0.1837 -0.8847 -5.6482
-1.4870 -5.6485 0.9331
Sb Tl Te Br
1 1 2 1
Cartesian
-0.7435 -2.8242 0.4665 Sb
0.0000 0.0000 0.0000 Tl
-0.0919 -0.4423 -2.8241 Te
-2.7666 0.7245 -0.0235 Te
-3.6020 -2.5421 -2.3810 Br
```

# 3
The following is a DFT calculation (PBE-GGA) of a relaxed structure of Li2ZrIn.

## Properties
N(E_F)	1.78	states/eV/f.u.
final energy	-3.741	eV/atom
total magnetic moment	0.000	μB per atom
energy relative to the elements	0.87	kcal/mol of atoms

Cell and atoms, written as POSCAR:
```
Li2ZrIn
1.0
2.9201 0.1078 0.0000
-0.8009 2.8101 0.0000
0.0000 0.0000 10.0159
In Li Zr
1 2 1
Cartesian
1.0596 1.4590 7.5119 In
0.0000 0.0000 9.8880 Li
0.0000 0.0000 5.1359 Li
1.0596 1.4590 2.5040 Zr
```

# 4
The following is a DFT calculation (PBE-GGA) of a relaxed structure of SmCuB2Pt5.

## Properties
N(E_F)	1.76	states/eV/f.u.
final energy	-6.272	eV/atom
total magnetic moment	0.000	μB per atom
energy relative to the elements	-10.43	kcal/mol of atoms

Cell and atoms, written as POSCAR:
```
SmCuB2Pt5
1.0
-0.5307 -1.1002 -3.8550
-2.7112 -2.7660 1.1626
-6.4753 6.0019 -0.8215
Sm Cu B Pt
1 1 2 5
Cartesian
-3.2376 3.0009 -0.4108 Sm
0.0000 0.0000 0.0000 Cu
-3.2989 -0.3778 -1.5591 B
-6.4183 2.5136 -1.9549 B
-2.5553 -0.2710 0.4291 Pt
-1.4650 0.5619 -2.0797 Pt
-6.6312 3.5069 -0.0880 Pt
-5.5409 4.3398 -2.5968 Pt
-4.8586 1.0679 -1.7570 Pt
```

total magnetic moment of number 3 (Li2ZrIn)? 0.000 μB per atom